Entry from the Alexandria database: a geometry-optimized CaPS2 structure (PBE-GGA).

Values from the calculation:
The size of the total moment is 0.000 μB/cell. The space group is R-3m (166). As for the raw formation energy: -0.48 eV per atom. The calculation puts the calculated total energy at -17.600 eV/cell.

Geometry as CIF:
```
data_CaPS2
_cell_length_a 7.9021
_cell_length_b 7.9021
_cell_length_c 7.9021
_cell_angle_alpha 29.55
_cell_angle_beta 29.55
_cell_angle_gamma 29.55
_symmetry_space_group_name_H-M 'P 1'
_symmetry_Int_Tables_number 1
_symmetry_space_group_name_Hall 'P 1'
loop_
_atom_site_label
_atom_site_fract_x
_atom_site_fract_y
_atom_site_fract_z
P1 0.0000 0.0000 0.0000
Ca1 0.5000 0.5000 0.5000
S1 0.9024 0.9024 0.9024
S2 0.0976 0.0976 0.0976
```